1.
## LiPu2C (GGA-PBE)

Data for a geometry-optimized LiPu2C structure.

Unit cell a=9.1700 b=9.1700 c=9.1700 alpha=21.02 beta=21.02 gamma=21.02
With the nearest neighbours (Å) after each atom.
Atoms (fractional coordinates):
Li 0.0000 0.0000 0.0000  6 Li 3.34, 6 Pu 3.58
Pu 0.2211 0.2211 0.2211  3 C 2.42
Pu 0.7789 0.7789 0.7789  3 C 2.42
C 0.5000 0.5000 0.5000  6 Pu 2.42

Values from the calculation:
The formation energy is 0.0806 eV/atom. Its space-group type is R-3m. The magnetization is 11.0 Bohr magnetons per cell. For the density of states at the Fermi level, the calculation gives 14.185 states/eV/f.u.

2.
## Rb3LiC (GGA-PBE)

Data for a geometry-optimized Rb3LiC structure.

Unit cell a=6.2755 b=6.2755 c=6.2755 alpha=90.00 beta=90.00 gamma=90.00
With the nearest neighbours (Å) after each atom.
Atoms (fractional coordinates):
Rb 0.0000 0.0000 0.5000  2 C 3.14
Rb 0.0000 0.5000 0.0000  2 C 3.14
Rb 0.5000 0.0000 0.0000  2 C 3.14
Li 0.5000 0.5000 0.5000  12 Rb 4.44
C 0.0000 0.0000 0.0000  6 Rb 3.14

Values from the calculation:
The value obtained for the relative energy among the computed polymorphs is 0.000 eV/atom. The formation energy is 0.9458 eV/atom. Its space-group type is Pm-3m. The magnetization is 2.0 Bohr magnetons per cell. For the density of states at the Fermi level, the calculation gives 1.944 states/eV/f.u.